1.
{"formula": "TbLuAg", "functional": "PBE-GGA", "state": "optimized geometry", "ef_ev_per_atom": 0.539, "dft_energy_ev_per_atom": -3.45, "lattice_angstrom": [[0.000, 3.434, 3.434], [3.434, 0.000, 3.434], [3.434, 3.434, 0.000]], "species": ["Ag", "Lu", "Tb"], "frac_coords": [[0.250, 0.250, 0.250], [0.000, 0.000, 0.000], [0.750, 0.750, 0.750]]}

=====

2.
{"formula": "LuTcAg", "functional": "PBE-GGA", "state": "optimized geometry", "ef_ev_per_atom": 0.956, "dft_energy_ev_per_atom": -4.95, "e_above_lowest_polymorph_ev_per_atom": 0.285, "lattice_angstrom": [[0.000, 3.226, 3.226], [3.226, 0.000, 3.226], [3.226, 3.226, 0.000]], "species": ["Tc", "Lu", "Ag"], "frac_coords": [[0.750, 0.750, 0.750], [0.000, 0.000, 0.000], [0.250, 0.250, 0.250]]}

=====

3.
{"formula": "LuTcAg", "functional": "PBE-GGA", "state": "optimized geometry", "ef_ev_per_atom": 0.671, "dft_energy_ev_per_atom": -5.23, "e_above_lowest_polymorph_ev_per_atom": 0.000, "lattice_angstrom": [[-1.841, -3.613, -2.019], [-4.308, 0.134, -1.396], [-0.943, 0.116, -4.429]], "species": ["Ag", "Tc", "Lu"], "frac_coords": [[0.000, 0.000, 0.000], [0.750, 0.750, 0.750], [0.250, 0.250, 0.250]]}

=====

4.
{"formula": "Lu2AgTe3", "functional": "PBE-GGA", "state": "optimized geometry", "dft_energy_ev_per_atom": -4.44, "lattice_angstrom": [[-1.896, 3.528, 10.040], [2.675, -2.730, 1.465], [10.734, 9.765, -1.404]], "species": ["Te", "Te", "Te", "Te", "Te", "Te", "Te", "Te", "Te", "Te", "Te", "Te", "Ag", "Ag", "Ag", "Ag", "Lu", "Lu", "Lu", "Lu", "Lu", "Lu", "Lu", "Lu"], "frac_coords": [[0.764, 0.750, 0.864], [0.464, 0.250, 0.899], [0.964, 0.250, 0.601], [0.264, 0.750, 0.636], [0.736, 0.250, 0.364], [0.074, 0.250, 0.902], [0.536, 0.750, 0.101], [0.926, 0.750, 0.098], [0.036, 0.750, 0.399], [0.426, 0.750, 0.402], [0.574, 0.250, 0.598], [0.236, 0.250, 0.136], [0.236, 0.750, 0.274], [0.764, 0.250, 0.726], [0.264, 0.250, 0.774], [0.736, 0.750, 0.226], [0.016, 0.750, 0.753], [0.729, 0.250, 0.027], [0.484, 0.250, 0.253], [0.271, 0.750, 0.973], [0.984, 0.250, 0.247], [0.771, 0.750, 0.527], [0.516, 0.750, 0.747], [0.229, 0.250, 0.473]]}